A plane-wave DFT calculation with PBE was carried out for a relaxed BeCo3Mo crystal.

Values from the calculation:
SG ... Pm-3m, No. 221
ΔH_f (0 K) ... 1.69 eV per atom
E_tot ... -5.48 eV per atom
Calculated volume ... 82.8 Å³/cell
Energy above the most stable polymorph in this dataset ... 1256 meV/atom

Structure (POSCAR):
```
BeCo3Mo
1.0
-0.264 3.827 2.068
-1.436 -2.033 3.578
4.107 -0.464 1.384
Co Mo Be
3 1 1
Direct
0.000 0.500 0.000 Co
0.500 0.000 0.000 Co
0.000 0.000 0.500 Co
0.000 0.000 0.000 Mo
0.500 0.500 0.500 Be
```



A plane-wave DFT calculation with PBE was carried out for a relaxed Be2CoMo crystal.

Values from the calculation:
SG ... Amm2, No. 38
ΔH_f (0 K) ... -0.05 eV per atom
E_tot ... -6.40 eV per atom
Calculated volume ... 42.2 Å³/cell
Energy above the most stable polymorph in this dataset ... 101 meV/atom

Structure (POSCAR):
```
Be2CoMo
1.0
3.545 0.000 0.000
0.000 2.677 0.003
0.000 1.333 4.448
Be Co Mo
2 1 1
Direct
0.500 0.058 0.261 Be
0.000 0.181 0.013 Be
0.000 0.468 0.439 Co
0.500 0.794 0.788 Mo
```



A plane-wave DFT calculation with PBE was carried out for a relaxed Be4Co5Mo crystal.

Values from the calculation:
SG ... P4/mmm, No. 123
ΔH_f (0 K) ... -0.24 eV per atom
E_tot ... -6.37 eV per atom
Calculated volume ... 96.2 Å³/cell

Structure (POSCAR):
```
Be4Co5Mo
1.0
2.625 0.000 0.000
0.000 2.625 0.000
0.000 0.000 13.953
Be Co Mo
4 5 1
Direct
0.000 0.000 0.593 Be
0.000 0.000 0.407 Be
0.000 0.000 0.223 Be
0.000 0.000 0.777 Be
0.500 0.500 0.316 Co
0.500 0.500 0.500 Co
0.500 0.500 0.684 Co
0.500 0.500 0.130 Co
0.500 0.500 0.870 Co
0.000 0.000 0.000 Mo
```



A plane-wave DFT calculation with PBE was carried out for a relaxed BeCoMo2 crystal.

Values from the calculation:
SG ... R-3m, No. 166
ΔH_f (0 K) ... 0.30 eV per atom
E_tot ... -7.83 eV per atom
Calculated volume ... 53.2 Å³/cell

Structure (POSCAR):
```
BeCoMo2
1.0
-1.581 3.992 -7.502
-2.941 1.716 -7.944
-4.108 3.744 -6.620
Mo Be Co
2 1 1
Direct
0.501 0.501 0.501 Mo
0.999 0.999 0.999 Mo
0.250 0.250 0.250 Be
0.750 0.750 0.750 Co
```



A plane-wave DFT calculation with PBE was carried out for a relaxed Be2CoMo crystal.

Values from the calculation:
SG ... P2/m, No. 10
ΔH_f (0 K) ... -0.15 eV per atom
E_tot ... -6.50 eV per atom
Calculated volume ... 41.5 Å³/cell
Energy above the most stable polymorph in this dataset ... 0 meV/atom

Structure (POSCAR):
```
Be2CoMo
1.0
2.671 0.000 0.000
0.000 2.670 -0.004
0.000 2.670 5.820
Be Mo Co
2 1 1
Direct
0.000 0.552 0.449 Be
0.000 0.948 0.051 Be
0.500 0.750 0.750 Mo
0.500 0.250 0.250 Co
```



A plane-wave DFT calculation with PBE was carried out for a relaxed Be2CoMo crystal.

Values from the calculation:
SG ... P4mm, No. 99
ΔH_f (0 K) ... -0.13 eV per atom
E_tot ... -6.48 eV per atom
Calculated volume ... 42.0 Å³/cell
Energy above the most stable polymorph in this dataset ... 20 meV/atom

Structure (POSCAR):
```
Be2CoMo
1.0
-0.069 1.839 1.931
0.934 -1.792 1.740
5.528 1.595 -1.323
Mo Co Be
1 1 2
Direct
0.500 0.500 0.751 Mo
0.000 0.000 0.453 Co
0.500 0.500 0.248 Be
0.000 0.000 0.048 Be
```



A plane-wave DFT calculation with PBE was carried out for a relaxed BeCoMo crystal.

Values from the calculation:
SG ... P3m1, No. 156
ΔH_f (0 K) ... 0.23 eV per atom
E_tot ... -6.99 eV per atom
Calculated volume ... 36.3 Å³/cell
Energy above the most stable polymorph in this dataset ... 384 meV/atom

Structure (POSCAR):
```
BeCoMo
1.0
-1.209 2.231 0.769
-1.421 -2.194 -0.443
0.683 -1.596 5.706
Mo Be Co
1 1 1
Direct
0.333 0.667 0.664 Mo
0.000 0.000 0.022 Be
0.667 0.333 0.314 Co
```



A plane-wave DFT calculation with PBE was carried out for a relaxed Be2CoMo crystal.

Values from the calculation:
SG ... Immm, No. 71
ΔH_f (0 K) ... 0.12 eV per atom
E_tot ... -6.23 eV per atom
Calculated volume ... 44.6 Å³/cell
Energy above the most stable polymorph in this dataset ... 271 meV/atom

Structure (POSCAR):
```
Be2CoMo
1.0
-0.525 4.323 1.780
-4.420 1.215 1.058
3.643 -2.864 0.808
Be Co Mo
2 1 1
Direct
0.522 0.522 0.000 Be
0.978 0.978 0.000 Be
0.750 0.250 0.500 Co
0.250 0.750 0.500 Mo
```



A plane-wave DFT calculation with PBE was carried out for a relaxed BeCoMo2 crystal.

Values from the calculation:
SG ... Cm, No. 8
ΔH_f (0 K) ... 0.08 eV per atom
E_tot ... -8.05 eV per atom
Calculated volume ... 50.3 Å³/cell

Structure (POSCAR):
```
BeCoMo2
1.0
4.812 -0.005 -0.011
4.108 2.505 -0.011
1.349 0.378 4.165
Mo Be Co
2 1 1
Direct
0.979 0.979 0.054 Mo
0.778 0.778 0.685 Mo
0.527 0.527 0.531 Be
0.216 0.216 0.230 Co
```



A plane-wave DFT calculation with PBE was carried out for a relaxed BeCoMo4 crystal.

Values from the calculation:
SG ... F-43m, No. 216
ΔH_f (0 K) ... 0.71 eV per atom
E_tot ... -8.32 eV per atom
Calculated volume ... 94.7 Å³/cell

Structure (POSCAR):
```
BeCoMo4
1.0
3.002 -3.990 1.117
-0.983 -2.866 4.123
-1.768 -4.769 -0.561
Mo Co Be
4 1 1
Direct
0.375 0.375 0.375 Mo
0.874 0.375 0.375 Mo
0.375 0.874 0.375 Mo
0.375 0.375 0.874 Mo
0.000 0.000 0.000 Co
0.750 0.750 0.750 Be
```



A plane-wave DFT calculation with PBE was carried out for a relaxed BeCoMo2 crystal.

Values from the calculation:
SG ... I-42d, No. 122
ΔH_f (0 K) ... 0.67 eV per atom
E_tot ... -7.46 eV per atom
Calculated volume ... 112.8 Å³/cell

Structure (POSCAR):
```
BeCoMo2
1.0
-1.024 2.710 2.106
-2.644 -2.024 1.319
3.535 -2.547 8.042
Be Mo Co
2 4 2
Direct
0.250 0.750 0.500 Be
0.500 0.500 0.000 Be
0.139 0.625 0.250 Mo
0.875 0.861 0.750 Mo
0.375 0.389 0.750 Mo
0.611 0.125 0.250 Mo
0.750 0.250 0.500 Co
0.000 0.000 0.000 Co
```



A plane-wave DFT calculation with PBE was carried out for a relaxed Be2CoMo crystal.

Values from the calculation:
SG ... F-43m, No. 216
ΔH_f (0 K) ... -0.01 eV per atom
E_tot ... -6.35 eV per atom
Calculated volume ... 43.4 Å³/cell
Energy above the most stable polymorph in this dataset ... 144 meV/atom

Structure (POSCAR):
```
Be2CoMo
1.0
-2.522 -0.598 2.974
-2.122 -3.322 0.149
0.792 -2.725 2.740
Be Co Mo
2 1 1
Direct
0.000 0.000 0.000 Be
0.250 0.250 0.250 Be
0.500 0.500 0.500 Co
0.750 0.750 0.750 Mo
```